An optimized crystal structure of TmPtRhO6, computed with PBE.

Geometry as POSCAR:
```
TmPtRhO6
1.0
5.298 0.000 0.000
-2.649 4.588 0.000
0.000 0.000 8.703
Tm Pt Rh O
2 2 2 12
Cartesian
0.000 3.059 2.176
2.649 1.529 6.528
2.649 1.529 2.176
0.000 3.059 6.528
0.000 0.000 0.000
0.000 0.000 4.352
1.862 3.048 1.043
4.358 1.451 1.043
-0.922 4.500 5.395
-1.709 3.137 7.660
0.940 1.451 3.309
3.436 3.048 3.309
0.922 4.500 7.660
3.571 0.089 3.309
-0.787 1.540 5.395
1.727 0.089 1.043
1.709 3.137 5.395
0.787 1.540 7.660
```

Output
SG: No. 163
Volume: 11.76 Å³ per atom
Energy relative to the elements, uncorrected: -11.3 eV/f.u.
Spin magnetization: 3.086 μB/cell

***

An optimized crystal structure of UPtRhO6, computed with PBE.

Geometry as POSCAR:
```
UPtRhO6
1.0
5.266 0.000 0.000
-2.633 4.560 0.000
0.000 0.000 9.210
U Pt Rh O
2 2 2 12
Cartesian
2.633 1.520 2.303
0.000 3.040 6.908
0.000 3.040 2.303
2.633 1.520 6.908
0.000 0.000 0.000
0.000 0.000 4.605
1.744 3.068 1.149
-0.848 1.516 1.149
1.737 0.023 5.755
3.481 3.045 8.061
0.848 1.516 3.456
-1.744 3.068 3.456
3.529 0.023 8.061
0.896 4.537 3.456
4.377 1.492 5.755
-0.896 4.537 1.149
1.785 3.045 5.755
0.888 1.492 8.061
```

Output
SG: No. 163
Volume: 12.29 Å³ per atom
Energy relative to the elements, uncorrected: -14.0 eV/f.u.
Spin magnetization: 1.769 μB/cell

***

An optimized crystal structure of YPtRhO6, computed with PBE.

Geometry as POSCAR:
```
YPtRhO6
1.0
-2.642 2.373 -4.002
3.430 -3.971 -1.043
-6.448 -5.786 0.826
Y Pt Rh O
2 2 2 12
Cartesian
-0.206 -3.303 -1.822
-5.454 -4.081 -2.395
-2.230 -1.188 -2.809
-3.430 -6.196 -1.409
0.000 0.000 0.000
-3.224 -2.893 0.413
-0.309 -1.688 -3.346
-2.272 0.387 -4.129
-1.470 -6.712 -1.754
-3.389 -7.771 -0.088
-2.278 -2.646 -1.359
-2.760 -2.525 -4.278
-4.090 -7.398 -2.942
-4.190 -0.672 -2.464
-2.900 -4.859 0.061
-1.571 0.014 -1.276
-3.382 -4.739 -2.859
-5.351 -5.696 -0.872
```

Output
SG: No. 163
Volume: 11.98 Å³ per atom
Energy relative to the elements, uncorrected: -10.8 eV/f.u.
Spin magnetization: 3.581 μB/cell

***

An optimized crystal structure of ZnPtRhO6, computed with PBE.

Geometry as POSCAR:
```
ZnPtRhO6
1.0
5.176 0.000 0.000
-2.588 4.483 0.000
0.000 0.000 8.822
Zn Pt Rh O
2 2 2 12
Cartesian
0.000 0.000 0.000
0.000 0.000 4.411
2.588 1.494 2.206
0.000 2.989 6.617
0.000 2.989 2.206
2.588 1.494 6.617
1.668 2.912 1.131
-0.901 1.582 1.131
1.820 0.011 5.542
3.489 2.901 7.691
0.901 1.582 3.280
-1.668 2.912 3.280
3.356 0.011 7.691
0.768 4.472 3.280
4.257 1.571 5.542
-0.768 4.472 1.131
1.687 2.901 5.542
0.920 1.571 7.691
```

Output
SG: No. 163
Volume: 11.37 Å³ per atom
Energy relative to the elements, uncorrected: -5.4 eV/f.u.
Spin magnetization: 5.757 μB/cell

***

An optimized crystal structure of ZnPtRhO4, computed with PBE.

Geometry as POSCAR:
```
ZnPtRhO4
1.0
-3.628 4.473 2.222
-2.145 -3.813 -4.403
1.013 -2.105 5.892
Zn Pt Rh O
2 2 2 8
Cartesian
-4.634 0.809 -0.619
-0.127 -2.254 4.330
-1.308 1.184 4.057
-1.814 2.237 1.111
-2.380 -0.723 1.856
-0.566 -2.959 0.745
-2.986 -0.020 3.740
-0.786 0.636 2.067
-2.455 2.693 3.089
-3.440 0.924 1.097
-1.320 -2.369 2.614
-3.974 -2.082 1.644
-2.306 -4.138 0.622
-1.775 -1.425 -0.029
```

Output
SG: No. 74
Volume: 12.17 Å³ per atom
Energy relative to the elements, uncorrected: -4.6 eV/f.u.
Spin magnetization: 0.000 μB/cell

***

An optimized crystal structure of Ru2PtO6, computed with PBE.

Geometry as POSCAR:
```
Ru2PtO6
1.0
-0.433 4.371 1.530
-2.585 2.547 -8.007
-5.949 -2.655 5.902
Ru Pt O
6 3 18
Cartesian
-2.126 -0.949 2.110
-5.484 -0.070 -1.353
-0.924 0.910 -2.862
-3.823 -1.706 3.792
-3.050 -0.039 -0.752
-1.661 1.636 -5.145
-3.932 3.090 -2.574
-5.035 1.173 1.999
0.000 0.000 0.000
-5.087 2.292 -4.096
-2.183 2.329 -3.380
-4.207 1.426 -1.372
-4.760 2.837 0.797
-6.784 1.933 2.805
-3.880 1.970 3.521
-2.809 3.911 -1.072
-5.644 3.875 -1.771
-3.667 4.757 -3.732
-7.556 3.095 0.322
-2.071 3.165 1.675
-5.895 1.459 5.468
-3.072 2.804 -6.043
-6.896 1.098 -2.250
-1.411 1.167 -0.897
-6.158 0.351 0.497
-3.323 0.387 1.196
-5.300 -0.495 3.157
```

Output
SG: No. 164
Volume: 11.53 Å³ per atom
Energy relative to the elements, uncorrected: -6.7 eV/f.u.
Spin magnetization: 0.000 μB/cell

***

An optimized crystal structure of RuPtO2, computed with PBE.

Geometry as POSCAR:
```
RuPtO2
1.0
0.000 2.807 2.807
2.807 0.000 2.807
2.807 2.807 0.000
Ru O Pt
1 2 1
Cartesian
0.000 0.000 0.000
1.404 1.404 1.404
4.211 4.211 4.211
2.807 2.807 2.807
```

Output
SG: No. 225
Volume: 11.06 Å³ per atom
Energy relative to the elements, uncorrected: 2.6 eV/f.u.
Spin magnetization: 0.000 μB/cell

***

An optimized crystal structure of RuPtO2, computed with PBE.

Geometry as POSCAR:
```
RuPtO2
1.0
4.991 0.000 0.000
0.000 4.991 0.000
2.496 2.496 4.501
Ru O Pt
2 4 2
Cartesian
2.496 2.496 0.000
2.496 4.991 2.251
3.507 1.248 1.125
1.485 3.743 1.125
3.743 3.980 3.376
6.239 6.002 3.376
0.000 0.000 0.000
4.991 2.496 2.251
```

Output
SG: No. 122
Volume: 14.02 Å³ per atom
Energy relative to the elements, uncorrected: 0.9 eV/f.u.
Spin magnetization: 0.000 μB/cell

***

An optimized crystal structure of RuPt3O, computed with PBE.

Geometry as POSCAR:
```
RuPt3O
1.0
4.763 0.000 0.000
0.000 4.763 0.000
0.000 0.000 4.763
Ru O Pt
1 1 3
Cartesian
0.000 0.000 0.000
2.382 2.382 2.382
0.000 2.382 0.000
0.000 0.000 2.382
2.382 0.000 0.000
```

Output
Energy above the most stable polymorph in this dataset: 5.70 eV per formula unit
SG: No. 221
Volume: 21.61 Å³ per atom
Energy relative to the elements, uncorrected: 9.6 eV/f.u.
Spin magnetization: 0.000 μB/cell

***

An optimized crystal structure of Ru2PtO, computed with PBE.

Geometry as POSCAR:
```
Ru2PtO
1.0
4.623 0.000 0.000
0.000 4.623 0.000
2.312 2.312 6.035
Ru O Pt
4 2 2
Cartesian
2.905 1.156 1.509
1.718 3.468 1.509
3.468 4.030 4.526
5.779 5.217 4.526
2.312 2.312 0.000
2.312 4.623 3.017
0.000 0.000 0.000
4.623 2.312 3.017
```

Output
SG: No. 122
Volume: 16.12 Å³ per atom
Energy relative to the elements, uncorrected: 1.7 eV/f.u.
Spin magnetization: 0.000 μB/cell

***

An optimized crystal structure of Ru3PtO, computed with PBE.

Geometry as POSCAR:
```
Ru3PtO
1.0
4.058 0.000 0.000
0.000 4.058 0.000
0.000 0.000 4.058
Ru O Pt
3 1 1
Cartesian
0.000 2.029 0.000
0.000 0.000 2.029
2.029 0.000 0.000
0.000 0.000 0.000
2.029 2.029 2.029
```

Output
Energy above the most stable polymorph in this dataset: 0.00 eV per formula unit
SG: No. 221
Volume: 13.37 Å³ per atom
Energy relative to the elements, uncorrected: 1.4 eV/f.u.
Spin magnetization: 0.000 μB/cell

***

An optimized crystal structure of Ru3PtO, computed with PBE.

Geometry as POSCAR:
```
Ru3PtO
1.0
4.844 0.000 0.000
0.000 4.844 0.000
0.000 0.000 4.844
Ru O Pt
3 1 1
Cartesian
0.000 2.422 0.000
0.000 0.000 2.422
2.422 0.000 0.000
2.422 2.422 2.422
0.000 0.000 0.000
```

Output
Energy above the most stable polymorph in this dataset: 10.23 eV per formula unit
SG: No. 221
Volume: 22.73 Å³ per atom
Energy relative to the elements, uncorrected: 11.6 eV/f.u.
Spin magnetization: 8.229 μB/cell

***

An optimized crystal structure of RuPt2O, computed with PBE.

Geometry as POSCAR:
```
RuPt2O
1.0
-3.164 1.715 5.592
-4.556 -4.710 -1.133
-2.456 -3.170 3.537
Ru O Pt
2 2 4
Cartesian
0.000 0.000 0.000
-4.740 -1.476 5.680
-3.860 -1.498 2.230
-5.436 -4.689 2.317
-3.031 -0.380 4.008
-3.987 -3.452 1.105
-4.924 -3.694 4.279
-8.410 -4.805 6.601
```

Output
SG: No. 122
Volume: 14.07 Å³ per atom
Energy relative to the elements, uncorrected: 2.1 eV/f.u.
Spin magnetization: 1.089 μB/cell

***

An optimized crystal structure of RuPt3O, computed with PBE.

Geometry as POSCAR:
```
RuPt3O
1.0
4.232 0.000 0.000
0.000 4.232 0.000
0.000 0.000 4.232
Ru O Pt
1 1 3
Cartesian
2.116 2.116 2.116
0.000 0.000 0.000
0.000 2.116 0.000
0.000 0.000 2.116
2.116 0.000 0.000
```

Output
Energy above the most stable polymorph in this dataset: 0.00 eV per formula unit
SG: No. 221
Volume: 15.15 Å³ per atom
Energy relative to the elements, uncorrected: 3.9 eV/f.u.
Spin magnetization: 2.786 μB/cell

***

An optimized crystal structure of Tl2RuPtO4, computed with PBE.

Geometry as POSCAR:
```
Tl2RuPtO4
1.0
-0.739 -3.221 -4.565
5.510 0.867 0.807
-2.185 -2.599 4.498
Tl Ru Pt O
2 1 1 4
Cartesian
3.217 -1.610 -0.553
0.000 0.000 0.000
1.663 -0.866 2.652
-0.631 -3.343 1.293
0.692 -3.069 -0.330
-0.052 -1.624 2.374
1.714 -2.847 -3.109
2.818 -2.365 2.545
```

Output
SG: No. 82
Volume: 17.22 Å³ per atom
Energy relative to the elements, uncorrected: -3.3 eV/f.u.
Spin magnetization: 0.000 μB/cell

***

An optimized crystal structure of TlRu2PtO8, computed with PBE.

Geometry as POSCAR:
```
TlRu2PtO8
1.0
-0.443 -1.382 -4.924
-3.906 -0.766 3.242
-3.225 8.082 -1.977
Tl Ru Pt O
1 2 1 8
Cartesian
0.000 0.000 0.000
-2.521 1.138 -2.768
-5.054 4.797 -0.891
-1.613 4.041 -0.989
-5.688 6.387 -1.280
-2.570 2.258 -1.336
-1.545 2.007 -4.034
-1.886 -0.453 -2.379
-6.029 3.928 0.375
-5.004 3.677 -2.324
-3.352 4.844 -0.249
-4.222 1.091 -3.410
```

Output
SG: No. 147
Volume: 16.97 Å³ per atom
Energy relative to the elements, uncorrected: -7.7 eV/f.u.
Spin magnetization: 0.000 μB/cell

***

An optimized crystal structure of PtSO2, computed with PBE.

Geometry as POSCAR:
```
PtSO2
1.0
1.895 0.000 5.754
-0.948 1.641 5.754
-0.948 -1.641 5.754
S O Pt
1 2 1
Cartesian
0.000 0.000 0.000
0.000 0.000 15.380
0.000 0.000 1.881
0.000 0.000 8.631
```

Output
SG: No. 166
Volume: 13.42 Å³ per atom
Energy relative to the elements, uncorrected: 0.3 eV/f.u.
Spin magnetization: 0.000 μB/cell

***

An optimized crystal structure of PtSO3, computed with PBE.

Geometry as POSCAR:
```
PtSO3
1.0
-2.937 -1.463 -2.143
2.579 -1.284 -2.658
0.289 -3.402 1.925
S O Pt
1 3 1
Cartesian
-0.035 -3.074 -1.438
1.289 -0.642 -1.329
0.145 -1.701 0.962
-1.469 -0.731 -1.072
0.000 0.000 0.000
```

Output
SG: No. 221
Volume: 12.04 Å³ per atom
Energy relative to the elements, uncorrected: 3.0 eV/f.u.
Spin magnetization: 0.000 μB/cell

***

An optimized crystal structure of PtSO3, computed with PBE.

Geometry as POSCAR:
```
PtSO3
1.0
-3.346 1.633 -0.413
-0.524 -1.884 -3.196
-1.601 -2.797 1.911
S O Pt
1 3 1
Cartesian
0.000 0.000 0.000
-0.262 -0.942 -1.598
-0.800 -1.398 0.956
-1.673 0.816 -0.207
-2.736 -1.524 -0.849
```

Output
SG: No. 221
Volume: 10.52 Å³ per atom
Energy relative to the elements, uncorrected: 3.4 eV/f.u.
Spin magnetization: 1.897 μB/cell

***

An optimized crystal structure of PtSO2, computed with PBE.

Geometry as POSCAR:
```
PtSO2
1.0
-2.085 4.658 4.778
-6.630 -0.881 -2.034
-4.611 0.162 2.944
S O Pt
2 4 2
Cartesian
-4.357 1.888 1.372
-7.799 0.584 1.141
-3.552 3.438 4.080
-7.375 4.133 4.228
-5.877 1.650 3.498
-5.303 4.194 6.382
0.000 0.000 0.000
-5.527 3.354 4.547
```

Output
SG: No. 122
Volume: 14.35 Å³ per atom
Energy relative to the elements, uncorrected: 1.7 eV/f.u.
Spin magnetization: 0.567 μB/cell